Here is a relaxed structure of Ca2Co2O5 from the Alexandria database. Energies are from PBE+U.

Structure (CIF):
```
data_Ca2Co2O5
_chemical_formula_sum 'Ca4 Co4 O10'
_symmetry_space_group_name_H-M 'P 1 21 1'
_symmetry_Int_Tables_number 4
_cell_length_a 5.3711
_cell_length_b 5.2178
_cell_length_c 7.9255
_cell_angle_alpha 90.00
_cell_angle_beta 90.10
_cell_angle_gamma 90.00
loop_
_symmetry_equiv_pos_as_xyz
'x,y,z'
'-x,y+1/2,-z'
loop_
_atom_site_label
_atom_site_type_symbol
_atom_site_fract_x
_atom_site_fract_y
_atom_site_fract_z
Ca1 Ca 0.2066 0.0000 0.2508
Ca2 Ca 0.2883 0.0579 0.7519
Co1 Co 0.2478 0.5311 0.5182
Co2 Co 0.2476 0.5341 0.9816
O1 O 0.0311 0.2350 0.5493
O2 O 0.0316 0.2379 0.9522
O3 O 0.2275 0.6247 0.7497
O4 O 0.4639 0.7985 0.0535
O5 O 0.4652 0.7933 0.4447
```

Calculated values
As for the offset from the most stable computed form: 0.151 eV/atom.